DFT (PBE) results for a relaxed structure of CdPt2Br.

a = 2.9938 Å, b = 2.9938 Å, c = 8.2204 Å
α = 90.00°, β = 90.00°, γ = 90.00°
Space group P4/mmm (No. 123)
Unique sites:
1 Cd 0.0000 0.0000 0.0000 x1
2 Pt 0.5000 0.5000 0.2366 x2
3 Br 0.0000 0.0000 0.5000 x1

Values from the calculation:
Formation energy (no corrections) (eV per atom): 0.264
Offset from the most stable computed form (meV/atom): 235
Final energy (eV for the cell shown): -13.6
Volume (Å³ per cell): 74